Below is an optimized crystal structure of LiTlHAu2, with properties calculated at the GGA-PBE level.

Summary:
**Raw total energy**: -2.861 eV/atom

Lattice parameters (Å, degrees): 4.297 4.297 4.333 90.00 90.00 90.00
Fractional coordinates of all 5 atoms:
H 0.000 0.000 0.000
Tl 0.500 0.500 0.500
Au 0.500 0.000 0.000
Au 0.000 0.500 0.000
Li 0.000 0.000 0.500



Below is an optimized crystal structure of Tl2AgSnPd, with properties calculated at the GGA-PBE level.

Summary:
**Raw total energy**: -2.791 eV/atom
**Formation energy from the elements**: 0.565 eV/atom

Lattice parameters (Å, degrees): 5.393 5.287 5.393 90.00 90.00 90.00
Fractional coordinates of all 5 atoms:
Tl 0.000 0.000 0.500
Tl 0.500 0.000 0.000
Pd 0.500 0.500 0.500
Ag 0.000 0.000 0.000
Sn 0.000 0.500 0.000



Below is an optimized crystal structure of NaMgHg6, with properties calculated at the GGA-PBE level.

Summary:
**Raw total energy**: -0.656 eV/atom
**Excess energy over the best structure of this formula in the dataset**: 59 meV/atom
**Formation energy from the elements**: -0.065 eV/atom

Lattice parameters (Å, degrees): 6.099 6.099 6.099 89.38 89.38 89.38
Fractional coordinates of all 8 atoms:
Hg 0.169 0.169 0.545
Hg 0.169 0.545 0.169
Hg 0.455 0.831 0.831
Hg 0.831 0.831 0.455
Hg 0.545 0.169 0.169
Hg 0.831 0.455 0.831
Mg 0.500 0.500 0.500
Na 0.000 0.000 0.000



Below is an optimized crystal structure of NaCdIn2Ir, with properties calculated at the GGA-PBE level.

Summary:
**Raw total energy**: -3.407 eV/atom
**Formation energy from the elements**: -0.093 eV/atom

Lattice parameters (Å, degrees): 5.158 5.158 5.325 90.00 90.00 90.00
Fractional coordinates of all 5 atoms:
Ir 0.000 0.000 0.000
Cd 0.000 0.000 0.500
Na 0.500 0.500 0.500
In 0.500 0.000 0.000
In 0.000 0.500 0.000



Below is an optimized crystal structure of CaSnAu2, with properties calculated at the GGA-PBE level.

Summary:
**Raw total energy**: -3.726 eV/atom
**Formation energy from the elements**: -0.587 eV/atom

Lattice parameters (Å, degrees): 4.716 7.255 10.714 90.00 90.00 90.00
Fractional coordinates of all 16 atoms:
Ca 0.750 0.231 0.159
Ca 0.250 0.769 0.841
Ca 0.250 0.269 0.659
Ca 0.750 0.731 0.341
Au 0.750 0.045 0.887
Au 0.750 0.725 0.043
Au 0.750 0.545 0.613
Au 0.250 0.455 0.387
Au 0.750 0.225 0.457
Au 0.250 0.275 0.957
Au 0.250 0.955 0.113
Au 0.250 0.775 0.543
Sn 0.750 0.436 0.862
Sn 0.250 0.064 0.362
Sn 0.250 0.564 0.138
Sn 0.750 0.936 0.638



Below is an optimized crystal structure of Ca3SbH2, with properties calculated at the GGA-PBE level.

Summary:
**Raw total energy**: -3.493 eV/atom
**Excess energy over the best structure of this formula in the dataset**: 0 meV/atom

Lattice parameters (Å, degrees): 5.213 7.135 7.135 101.23 90.00 90.00
Fractional coordinates of all 12 atoms:
H 0.000 0.150 0.150
H 0.500 0.850 0.850
H 0.500 0.150 0.150
H 0.000 0.850 0.850
Ca 0.750 0.111 0.889
Ca 0.750 0.594 0.818
Ca 0.250 0.889 0.111
Ca 0.250 0.818 0.594
Ca 0.750 0.182 0.406
Ca 0.250 0.406 0.182
Sb 0.750 0.688 0.312
Sb 0.250 0.312 0.688